Entry 1:
VASP calculation (PBE-GGA) on a relaxed structure of NaNb2ReO8.

Geometry as POSCAR:
```
NaNb2ReO8
1.0
3.4424 -3.3440 0.0000
3.4424 3.3440 0.0000
-0.0110 0.0000 6.3774
Na Nb Re O
1 2 1 8
Direct
0.0000 0.0000 0.0000
0.4852 0.4852 0.2421
0.5148 0.5148 0.7579
0.0000 0.0000 0.5000
0.2056 0.7895 0.2918
0.2105 0.7944 0.7082
0.2926 0.2926 0.4987
0.3189 0.3189 0.9980
0.6811 0.6811 0.0020
0.7074 0.7074 0.5013
0.7895 0.2056 0.2918
0.7944 0.2105 0.7082
```

Results
ρ, Mg/m³: 5.9
Crystal system: monoclinic
Space group: C2/m, No. 12
Calculated total energy, eV per atom: -8.233


Entry 2:
VASP calculation (PBE-GGA) on a relaxed structure of Na2NbRh2O6.

Geometry as POSCAR:
```
Na2NbRh2O6
1.0
2.6132 -4.7336 0.0000
2.6132 4.7336 0.0000
-2.0008 0.0000 5.5970
Na Nb Rh O
2 1 2 6
Direct
0.1717 0.8283 0.0000
0.8283 0.1717 0.0000
0.0000 0.0000 0.5000
0.3374 0.6626 0.5000
0.6626 0.3374 0.5000
0.0524 0.3947 0.6960
0.2450 0.2450 0.2911
0.3947 0.0524 0.6960
0.6053 0.9476 0.3040
0.7550 0.7550 0.7089
0.9476 0.6053 0.3040
```

Results
ρ, Mg/m³: 5.3
Crystal system: monoclinic
Space group: C2/m, No. 12
Calculated total energy, eV per atom: -6.624


Per-record energy relative to the elements, uncorrected, eV per atom: -2.10 -1.43